No. 1
LaRePt2 after structural relaxation. Source: Alexandria via LeMat-Bulk, functional PBE-GGA.

The structure belongs to space group R-3m (No. 166, hexagonal axes); the cell edges are 2.9105, 2.9105 and 29.7405 Å and the angles 90.00°, 90.00° and 120.00°. The inequivalent atoms are La at (0.0000, 0.0000, 0.0000), Re at (0.0000, 0.0000, 0.5000) and Pt at (0.0000, 0.0000, 0.2401).

As for the energy above the most stable polymorph in this dataset: 394 meV per atom.

No. 2
La4RePt after structural relaxation. Source: Alexandria via LeMat-Bulk, functional PBE-GGA.

The structure belongs to space group F-43m (No. 216); the cell edges are 8.576, 8.576 and 8.576 Å and the angles 90.00°, 90.00° and 90.00°. The inequivalent atoms are La at (0.124, 0.124, 0.376), Re at (0.250, 0.250, 0.750) and Pt at (0.000, 0.000, 0.000).

No. 3
LaRePt2 after structural relaxation. Source: Alexandria via LeMat-Bulk, functional PBE-GGA.

The structure belongs to space group Cmmm (No. 65); the cell edges are 6.008, 8.299 and 2.936 Å and the angles 90.00°, 90.00° and 90.00°. The inequivalent atoms are La at (0.000, 0.000, 0.000), Re at (0.000, 0.500, 0.000) and Pt at (0.250, 0.250, 0.500).

As for the energy above the most stable polymorph in this dataset: 87 meV per atom.

No. 4
LaRePt after structural relaxation. Source: Alexandria via LeMat-Bulk, functional PBE-GGA.

The structure belongs to space group I4mm (No. 107); the cell edges are 2.954, 2.954 and 13.589 Å and the angles 90.00°, 90.00° and 90.00°. The inequivalent atoms are La at (0.000, 0.000, 0.000), Re at (0.000, 0.000, 0.685) and Pt at (0.000, 0.000, 0.309).

As for the energy above the most stable polymorph in this dataset: 217 meV per atom.

No. 5
LaRe3Pt after structural relaxation. Source: Alexandria via LeMat-Bulk, functional PBE-GGA.

The structure belongs to space group Pm-3m (No. 221); the cell edges are 4.733, 4.733 and 4.733 Å and the angles 90.00°, 90.00° and 90.00°. The inequivalent atoms are La at (0.000, 0.000, 0.000), Re at (0.000, 0.000, 0.500) and Pt at (0.500, 0.500, 0.500).

As for the energy above the most stable polymorph in this dataset: 1427 meV per atom.

No. 6
LaRePt2 after structural relaxation. Source: Alexandria via LeMat-Bulk, functional PBE-GGA.

The structure belongs to space group Pm (No. 6); the cell edges are 2.922, 4.697 and 5.568 Å and the angles 90.00°, 97.75° and 90.00°. The inequivalent atoms are La at (0.000, 0.000, 0.000), Re at (0.168, 0.500, 0.622), Pt at (0.546, 0.500, 0.207) and Pt at (0.570, 0.000, 0.514).

As for the energy above the most stable polymorph in this dataset: 47 meV per atom.

The records above give, respectively, energy of formation from the pure elements values of 0.16, 0.84, -0.14, 0.07, 3.04, -0.18 eV/atom.
The records above give, respectively, total DFT energy (no corrections) values of -7.200, -5.526, -7.507, -7.740, -6.625, -7.547 eV/atom.